This record from Alexandria via LeMat-Bulk describes an optimized crystal structure of AgMoNO2. The functional is PBE+U.

Calculated values
* E_tot: -4.6124 eV per atom
* symmetry: P4/mmm, No. 123
* ρ: 6.2 Mg/m³
* density of states at the Fermi level: 2.41 states/eV/f.u.

Cell lengths 4.1065, 4.1065, 3.9894 Å; angles 90.00, 90.00, 90.00 degrees
With the nearest neighbours (Å) after each atom.
Fractional coordinates of all 5 atoms:
Ag 0.0000 0.0000 0.0000  2 N 1.99, 4 O 2.05
Mo 0.5000 0.5000 0.5000  8 O 2.86, 4 N 2.90
N 0.0000 0.0000 0.5000  2 Ag 1.99
O 0.0000 0.5000 0.0000  2 Ag 2.05
O 0.5000 0.0000 0.0000  2 Ag 2.05